No. 1
# Sm8Si3NiBr4

Sm8Si3NiBr4 after structural relaxation (GGA-PBE, Alexandria).

Energy = -246.08 eV per cell
Formation energy without anion corrections = -0.97 eV per atom
Total moment = 0.0000 μB/atom

Cell: 8.3922 8.3922 21.7000 Å, 90.00 90.00 120.00°
With the nearest neighbours (Å) after each atom.
Space group R-3m (No. 166, hexagonal axes)
Asymmetric unit:
Sm 0.0000 0.0000 0.2376 x6  3 Si 2.87, 3 Br 3.19
Sm 0.0111 0.5056 0.2354 x18  1 Ni 2.78, 2 Si 2.88
Si 0.0000 0.5000 0.5000 x9  6 Sm 2.87-2.88
Ni 0.0000 0.0000 0.5000 x3  6 Sm 2.78
Br 0.0000 0.0000 0.0000 x3  6 Sm 3.28
Br 0.0000 0.5000 0.0000 x9  6 Sm 3.19

***

No. 2
# SiNi2SnBr

SiNi2SnBr after structural relaxation (GGA-PBE, Alexandria).

Energy = -17.50 eV per cell
Formation energy without anion corrections = 1.03 eV per atom
Total moment = 0.3737 μB/atom

Cell: 4.8588 4.8588 5.2248 Å, 90.00 90.00 90.00°
With the nearest neighbours (Å) after each atom.
Space group P4/mmm (No. 123)
Asymmetric unit:
Si 0.0000 0.0000 0.0000 x1  2 Sn 2.61
Ni 0.0000 0.5000 0.5000 x2  2 Sn 2.43
Sn 0.0000 0.0000 0.5000 x1  4 Ni 2.43, 2 Si 2.61
Br 0.5000 0.5000 0.0000 x1  4 Si 3.44, 8 Ni 3.57

***

No. 3
# Sr2SiNiBr

Sr2SiNiBr after structural relaxation (GGA-PBE, Alexandria).

Energy = -20.07 eV per cell
Formation energy without anion corrections = -0.76 eV per atom
Total moment = 0.0000 μB/atom

Cell: 5.8347 5.8347 4.2735 Å, 90.00 90.00 90.00°
With the nearest neighbours (Å) after each atom.
Space group P4/mmm (No. 123)
Asymmetric unit:
Sr 0.0000 0.5000 0.0000 x2  2 Ni 2.92
Si 0.0000 0.0000 0.5000 x1  2 Ni 2.14
Ni 0.0000 0.0000 0.0000 x1  2 Si 2.14
Br 0.5000 0.5000 0.5000 x1  8 Sr 3.62

***

No. 4
# TiSiNi2Br

TiSiNi2Br after structural relaxation (GGA-PBE, Alexandria).

Energy = -24.74 eV per cell
Formation energy without anion corrections = 0.36 eV per atom
Total moment = 0.0000 μB/atom

Cell: 4.2711 4.2711 4.9485 Å, 90.00 90.00 90.00°
With the nearest neighbours (Å) after each atom.
Space group P4/mmm (No. 123)
Asymmetric unit:
Ti 0.0000 0.0000 0.0000 x1  2 Si 2.47
Si 0.0000 0.0000 0.5000 x1  4 Ni 2.14
Ni 0.0000 0.5000 0.5000 x2  2 Si 2.14
Br 0.5000 0.5000 0.0000 x1  4 Ti 3.02, 8 Ni 3.27

***

No. 5
# Ti2SiNiBr

Ti2SiNiBr after structural relaxation (GGA-PBE, Alexandria).

Energy = -23.60 eV per cell
Formation energy without anion corrections = 1.01 eV per atom
Total moment = 0.0000 μB/atom

Cell: 4.7488 4.7488 4.8690 Å, 90.00 90.00 90.00°
With the nearest neighbours (Å) after each atom.
Space group P4/mmm (No. 123)
Asymmetric unit:
Ti 0.0000 0.5000 0.0000 x2  2 Si 2.37
Si 0.0000 0.0000 0.0000 x1  4 Ti 2.37, 2 Br 2.43
Ni 0.5000 0.5000 0.5000 x1  4 Br 3.36, 8 Ti 3.40
Br 0.0000 0.0000 0.5000 x1  2 Si 2.43

***

No. 6
# Tl2SiNiBr

Tl2SiNiBr after structural relaxation (GGA-PBE, Alexandria).

Energy = -18.19 eV per cell
Formation energy without anion corrections = -0.12 eV per atom
Total moment = 0.0000 μB/atom

Cell: 5.3708 5.3708 4.3404 Å, 90.00 90.00 90.00°
With the nearest neighbours (Å) after each atom.
Space group P4/mmm (No. 123)
Asymmetric unit:
Tl 0.0000 0.5000 0.0000 x2  2 Ni 2.69
Si 0.0000 0.0000 0.5000 x1  2 Ni 2.17
Ni 0.0000 0.0000 0.0000 x1  2 Si 2.17
Br 0.5000 0.5000 0.5000 x1  8 Tl 3.45, 4 Si 3.80

***

No. 7
# YSiNi2Br

YSiNi2Br after structural relaxation (GGA-PBE, Alexandria).

Energy = -25.70 eV per cell
Formation energy without anion corrections = -0.12 eV per atom
Total moment = 0.0043 μB/atom

Cell: 4.2966 4.2966 5.6683 Å, 90.00 90.00 90.00°
With the nearest neighbours (Å) after each atom.
Space group P4/mmm (No. 123)
Asymmetric unit:
Y 0.0000 0.0000 0.0000 x1  2 Si 2.83, 4 Br 3.04
Si 0.0000 0.0000 0.5000 x1  4 Ni 2.15
Ni 0.0000 0.5000 0.5000 x2  2 Si 2.15
Br 0.5000 0.5000 0.0000 x1  4 Y 3.04

***

No. 8
# Sm7NiBr12

Sm7NiBr12 after structural relaxation (GGA-PBE, Alexandria).

Energy = -271.43 eV per cell
Formation energy without anion corrections = -1.58 eV per atom
Total moment = 0.0362 μB/atom

Cell: 15.1033 15.1033 10.2403 Å, 90.00 90.00 120.00°
With the nearest neighbours (Å) after each atom.
Space group R-3 (No. 148, hexagonal axes)
Asymmetric unit:
Sm 0.0000 0.0000 0.0000 x3  6 Br 2.92
Sm 0.0423 0.1628 0.3490 x18  1 Ni 2.70, 3 Br 2.95-3.02
Ni 0.0000 0.0000 0.5000 x3  6 Sm 2.70
Br 0.0241 0.5852 0.1597 x18  3 Sm 2.95-3.16
Br 0.0480 0.1791 0.8411 x18  3 Sm 2.92-3.05

***

No. 9
# Sm4NiBr5

Sm4NiBr5 after structural relaxation (GGA-PBE, Alexandria).

Energy = -93.41 eV per cell
Formation energy without anion corrections = -1.37 eV per atom
Total moment = 0.0000 μB/atom

Cell: 18.7635 4.0136 8.6100 Å, 90.00 103.40 90.00°
With the nearest neighbours (Å) after each atom.
Space group C2/m (No. 12)
Asymmetric unit:
Sm 0.0000 0.0000 0.2147 x4  2 Ni 2.73
Sm 0.1489 0.5000 0.0831 x4  1 Ni 2.72, 4 Br 2.96-3.03
Ni 0.0000 0.5000 0.0000 x2  6 Sm 2.72-2.73
Br 0.0000 0.5000 0.5000 x2  4 Sm 3.17
Br 0.1669 0.0000 0.3421 x4  3 Sm 2.96-3.07
Br 0.1747 0.0000 0.8387 x4  4 Sm 3.03-3.22

***

No. 10
# Ni3SnBr

Ni3SnBr after structural relaxation (GGA-PBE, Alexandria).

Energy = -18.02 eV per cell
Formation energy without anion corrections = 1.00 eV per atom
Total moment = 0.0000 μB/atom
Distance to the lowest polymorph of the same formula = 319.5 meV/atom

Cell: 4.7681 4.7681 4.7681 Å, 90.00 90.00 90.00°
With the nearest neighbours (Å) after each atom.
Space group Pm-3m (No. 221)
Asymmetric unit:
Ni 0.0000 0.0000 0.5000 x3  2 Sn 2.38
Sn 0.0000 0.0000 0.0000 x1  6 Ni 2.38
Br 0.5000 0.5000 0.5000 x1  12 Ni 3.37

***

No. 11
# Ni3SnBr

Ni3SnBr after structural relaxation (GGA-PBE, Alexandria).

Energy = -19.62 eV per cell
Formation energy without anion corrections = 0.68 eV per atom
Total moment = 0.0000 μB/atom
Distance to the lowest polymorph of the same formula = 0.0 meV/atom

Cell: 4.4788 4.4788 4.4788 Å, 90.00 90.00 90.00°
With the nearest neighbours (Å) after each atom.
Space group Pm-3m (No. 221)
Asymmetric unit:
Ni 0.0000 0.0000 0.5000 x3  2 Br 2.24
Sn 0.5000 0.5000 0.5000 x1  12 Ni 3.17
Br 0.0000 0.0000 0.0000 x1  6 Ni 2.24

***

No. 12
# Ni2SnBr

Ni2SnBr after structural relaxation (GGA-PBE, Alexandria).

Energy = -65.01 eV per cell
Formation energy without anion corrections = 0.25 eV per atom
Total moment = 0.0000 μB/atom
Distance to the lowest polymorph of the same formula = 0.0 meV/atom

Cell: 6.0022 6.0022 9.5796 Å, 90.00 90.00 90.00°
With the nearest neighbours (Å) after each atom.
Space group I-42d (No. 122)
Asymmetric unit:
Ni 0.2276 0.2500 0.1250 x8  2 Br 2.36, 2 Sn 2.52
Sn 0.0000 0.0000 0.5000 x4  4 Ni 2.52
Br 0.0000 0.0000 0.0000 x4  4 Ni 2.36

***

No. 13
# Ni2SnBr

Ni2SnBr after structural relaxation (GGA-PBE, Alexandria).

Energy = -62.72 eV per cell
Formation energy without anion corrections = 0.39 eV per atom
Total moment = 0.0000 μB/atom
Distance to the lowest polymorph of the same formula = 143.4 meV/atom

Cell: 6.4736 6.4736 6.4736 Å, 90.00 90.00 90.00°
With the nearest neighbours (Å) after each atom.
Space group Fm-3m (No. 225)
Asymmetric unit:
Ni 0.2500 0.2500 0.2500 x8  4 Sn 2.80, 4 Br 2.80
Sn 0.0000 0.0000 0.0000 x4  8 Ni 2.80
Br 0.0000 0.0000 0.5000 x4  8 Ni 2.80

***

No. 14
# Ni5SnBr12

Ni5SnBr12 after structural relaxation (GGA-PBE, Alexandria).

Energy = -119.36 eV per cell
Formation energy without anion corrections = -0.37 eV per atom
Total moment = 0.5557 μB/atom

Cell: 6.5580 11.3676 13.6165 Å, 90.00 90.43 90.00°
With the nearest neighbours (Å) after each atom.
Space group C2/m (No. 12)
Asymmetric unit:
Ni 0.0000 0.0000 0.0000 x2  6 Br 2.58
Ni 0.0000 0.1666 0.5000 x4  6 Br 2.57
Ni 0.0000 0.3333 0.0000 x4  6 Br 2.57-2.58
Sn 0.0000 0.5000 0.5000 x2  6 Br 2.93
Br 0.1225 0.0000 0.6133 x4  2 Ni 2.57
Br 0.1652 0.1666 0.9000 x8  3 Ni 2.57-2.58
Br 0.1651 0.5000 0.8997 x4  3 Ni 2.58
Br 0.1913 0.3105 0.6132 x8  2 Ni 2.57

***

No. 15
# NiSn2Br2

NiSn2Br2 after structural relaxation (GGA-PBE, Alexandria).

Energy = -29.76 eV per cell
Formation energy without anion corrections = 0.45 eV per atom
Total moment = 0.1813 μB/atom
Distance to the lowest polymorph of the same formula = 33.9 meV/atom

Cell: 4.1045 4.1045 17.2808 Å, 90.00 90.00 90.00°
With the nearest neighbours (Å) after each atom.
Space group I4/mmm (No. 139)
Asymmetric unit:
Ni 0.0000 0.0000 0.0000 x2  8 Br 3.33
Sn 0.0000 0.5000 0.2500 x4  4 Sn 2.90
Br 0.0000 0.0000 0.4059 x4  1 Br 3.25, 4 Ni 3.33, 4 Sn 3.39

***

No. 16
# NiSn2Br2

NiSn2Br2 after structural relaxation (GGA-PBE, Alexandria).

Energy = -30.10 eV per cell
Formation energy without anion corrections = 0.42 eV per atom
Total moment = 0.0452 μB/atom
Distance to the lowest polymorph of the same formula = 0.0 meV/atom

Cell: 8.7381 8.7381 3.5611 Å, 90.00 90.00 90.00°
With the nearest neighbours (Å) after each atom.
Space group P4/mbm (No. 127)
Asymmetric unit:
Ni 0.0000 0.0000 0.0000 x2  4 Br 3.44, 2 Ni 3.56, 8 Sn 3.64
Sn 0.1928 0.3072 0.5000 x4  2 Br 2.85
Br 0.1270 0.6270 0.0000 x4  2 Sn 2.85, 1 Br 3.14

***

No. 17
# Tc2NiSnBr

Tc2NiSnBr after structural relaxation (GGA-PBE, Alexandria).

Energy = -26.00 eV per cell
Formation energy without anion corrections = 1.24 eV per atom
Total moment = 1.0841 μB/atom

Cell: 4.8193 4.8193 4.4564 Å, 90.00 90.00 90.00°
With the nearest neighbours (Å) after each atom.
Space group P4/mmm (No. 123)
Asymmetric unit:
Tc 0.0000 0.5000 0.0000 x2  2 Ni 2.41
Ni 0.0000 0.0000 0.0000 x1  2 Br 2.23, 4 Tc 2.41
Sn 0.5000 0.5000 0.5000 x1  8 Tc 3.28, 4 Br 3.41
Br 0.0000 0.0000 0.5000 x1  2 Ni 2.23

***

No. 18
# TiNiSn2Br

TiNiSn2Br after structural relaxation (GGA-PBE, Alexandria).

Energy = -17.80 eV per cell
Formation energy without anion corrections = 1.11 eV per atom
Total moment = 0.0885 μB/atom

Cell: 5.5133 5.5133 4.6027 Å, 90.00 90.00 90.00°
With the nearest neighbours (Å) after each atom.
Space group P4/mmm (No. 123)
Asymmetric unit:
Ti 0.0000 0.0000 0.0000 x1  2 Br 2.30
Ni 0.5000 0.5000 0.0000 x1  8 Sn 3.59, 4 Ti 3.90
Sn 0.0000 0.5000 0.5000 x2  2 Br 2.76
Br 0.0000 0.0000 0.5000 x1  2 Ti 2.30

***

No. 19
# VNiSnBr2

VNiSnBr2 after structural relaxation (GGA-PBE, Alexandria).

Energy = -18.47 eV per cell
Formation energy without anion corrections = 0.76 eV per atom
Total moment = 0.0049 μB/atom

Cell: 4.7256 4.7256 5.3560 Å, 90.00 90.00 90.00°
With the nearest neighbours (Å) after each atom.
Space group P4/mmm (No. 123)
Asymmetric unit:
V 0.0000 0.0000 0.0000 x1  4 Sn 3.34, 8 Br 3.57
Ni 0.5000 0.5000 0.5000 x1  4 Br 2.36
Sn 0.5000 0.5000 0.0000 x1  2 Ni 2.68
Br 0.0000 0.5000 0.5000 x2  2 Ni 2.36

***

No. 20
# V2NiSnBr

V2NiSnBr after structural relaxation (GGA-PBE, Alexandria).

Energy = -26.20 eV per cell
Formation energy without anion corrections = 0.70 eV per atom
Total moment = 1.1567 μB/atom

Cell: 4.8342 4.8342 4.6685 Å, 90.00 90.00 90.00°
With the nearest neighbours (Å) after each atom.
Space group P4/mmm (No. 123)
Asymmetric unit:
V 0.0000 0.5000 0.0000 x2  2 Ni 2.42
Ni 0.0000 0.0000 0.0000 x1  2 Sn 2.33, 4 V 2.42
Sn 0.0000 0.0000 0.5000 x1  2 Ni 2.33
Br 0.5000 0.5000 0.5000 x1  8 V 3.36, 4 Sn 3.42

***

No. 21
# SrNi2Br

SrNi2Br after structural relaxation (GGA-PBE, Alexandria).

Energy = -52.79 eV per cell
Formation energy without anion corrections = 0.43 eV per atom
Total moment = 0.0000 μB/atom
Distance to the lowest polymorph of the same formula = 670.1 meV/atom

Cell: 6.7819 6.7819 6.7819 Å, 90.00 90.00 90.00°
With the nearest neighbours (Å) after each atom.
Space group Fm-3m (No. 225)
Asymmetric unit:
Sr 0.0000 0.0000 0.0000 x4  8 Ni 2.94
Ni 0.2500 0.2500 0.2500 x8  4 Br 2.94, 4 Sr 2.94
Br 0.0000 0.0000 0.5000 x4  8 Ni 2.94

***

No. 22
# SrNi2Br

SrNi2Br after structural relaxation (GGA-PBE, Alexandria).

Energy = -15.48 eV per cell
Formation energy without anion corrections = -0.14 eV per atom
Total moment = 0.2596 μB/atom
Distance to the lowest polymorph of the same formula = 98.6 meV/atom

Cell: 3.4594 3.4594 7.4945 Å, 90.00 90.00 90.00°
With the nearest neighbours (Å) after each atom.
Space group P4mm (No. 99)
Asymmetric unit:
Sr 0.0000 0.0000 0.0000 x1  1 Ni 2.76, 4 Br 3.05
Ni 0.0000 0.0000 0.6320 x1  4 Ni 2.49, 1 Sr 2.76
Ni 0.5000 0.5000 0.6964 x1  4 Ni 2.49
Br 0.5000 0.5000 0.2435 x1  4 Sr 3.05, 1 Ni 3.39

***

No. 23
# Sr2NiBr

Sr2NiBr after structural relaxation (GGA-PBE, Alexandria).

Energy = -24.68 eV per cell
Formation energy without anion corrections = -0.38 eV per atom
Total moment = 0.0001 μB/atom
Distance to the lowest polymorph of the same formula = 342.6 meV/atom

Cell: 4.3441 4.3441 13.2378 Å, 90.00 90.00 90.00°
With the nearest neighbours (Å) after each atom.
Space group I-4m2 (No. 119)
Asymmetric unit:
Sr 0.0000 0.0000 0.0000 x2  4 Ni 3.07
Sr 0.0000 0.5000 0.2500 x2  4 Br 3.07
Ni 0.0000 0.0000 0.5000 x2  4 Sr 3.07
Br 0.0000 0.5000 0.7500 x2  4 Sr 3.07

***

No. 24
# SrNi2Br

SrNi2Br after structural relaxation (GGA-PBE, Alexandria).

Energy = -14.19 eV per cell
Formation energy without anion corrections = 0.18 eV per atom
Total moment = 0.2562 μB/atom
Distance to the lowest polymorph of the same formula = 422.6 meV/atom

Cell: 4.0687 4.0687 5.9983 Å, 90.00 90.00 90.00°
With the nearest neighbours (Å) after each atom.
Space group P4/mmm (No. 123)
Asymmetric unit:
Sr 0.0000 0.0000 0.0000 x1  2 Br 3.00, 8 Ni 3.08
Ni 0.5000 0.5000 0.1855 x2  1 Ni 2.23
Br 0.0000 0.0000 0.5000 x1  2 Sr 3.00

***

No. 25
# Sr2NiBr

Sr2NiBr after structural relaxation (GGA-PBE, Alexandria).

Energy = -13.41 eV per cell
Formation energy without anion corrections = -0.65 eV per atom
Total moment = 0.0000 μB/atom
Distance to the lowest polymorph of the same formula = 74.6 meV/atom

Cell: 3.7364 3.7191 8.1765 Å, 90.00 90.35 90.00°
With the nearest neighbours (Å) after each atom.
Space group P2/m (No. 10)
Asymmetric unit:
Sr 0.0025 0.0000 0.2152 x2  4 Ni 3.17, 4 Br 3.50-3.53, 1 Sr 3.52
Ni 0.5000 0.5000 0.0000 x1  8 Sr 3.17
Br 0.5000 0.5000 0.5000 x1  8 Sr 3.50-3.53, 4 Br 3.72-3.74

***

No. 26
# SrNi2Br

SrNi2Br after structural relaxation (GGA-PBE, Alexandria).

Energy = -31.76 eV per cell
Formation energy without anion corrections = -0.24 eV per atom
Total moment = 0.2573 μB/atom
Distance to the lowest polymorph of the same formula = 0.0 meV/atom

Cell: 6.9726 4.0328 6.8758 Å, 90.00 91.09 90.00°
With the nearest neighbours (Å) after each atom.
Space group Cm (No. 8)
Asymmetric unit:
Sr 0.0000 0.0000 0.0000 x2  3 Br 3.08, 6 Ni 3.12-3.22
Ni 0.1727 0.5000 0.3038 x2  3 Ni 2.33
Ni 0.3398 0.0000 0.3234 x2  3 Ni 2.33
Br 0.3279 0.0000 0.7060 x2  1 Ni 2.63